A plane-wave DFT calculation with PBE was carried out for Sr4As2H after structural relaxation.

Computed properties:
The calculation puts the total magnetization at 1.0 μB/f.u. Its energy above the most stable polymorph in this dataset is 87 meV/atom.

Unit cell a=6.769 b=6.769 c=8.623 alpha=117.70 beta=117.70 gamma=37.15
Element x y z (fractional)
Sr  0.077  0.077  0.385
Sr  0.338  0.338  0.929
Sr  0.662  0.662  0.071
Sr  0.923  0.923  0.615
As  0.343  0.343  0.300
As  0.657  0.657  0.700
H  0.000  0.000  0.000